Record 1
Density functional theory data (GGA-PBE) for an optimized crystal structure of CoCu3Pd3.

Output
E_form   121 meV per atom

a b c (Å): 5.982 5.982 5.586
angles (deg): 90.00 90.00 90.25
Site moments in Bohr magnetons follow the coordinates.
Sites, in units of the cell vectors:
Cu 0.717 0.283 0.500  -0.01
Cu 0.664 0.336 0.000  0.06
Cu 0.286 0.286 0.501  0.03
Cu 0.336 0.664 0.000  0.06
Cu 0.283 0.717 0.500  -0.01
Cu 0.714 0.714 0.499  0.03
Pd 0.500 0.001 0.246  0.14
Pd 0.999 0.500 0.754  0.14
Pd 0.001 0.500 0.246  0.14
Pd 0.500 0.999 0.754  0.14
Pd 0.000 0.000 0.252  0.23
Pd 0.000 0.000 0.748  0.23
Co 0.747 0.747 0.001  1.97
Co 0.253 0.253 0.999  1.97


Record 2
Density functional theory data (GGA-PBE) for an optimized crystal structure of CoCuPd.

Output
E_form   71 meV per atom
Polymorph energy (0 for the lowest one)   0.169 eV/f.u.

a b c (Å): 3.884 2.618 7.800
angles (deg): 80.34 90.00 90.00
Site moments in Bohr magnetons follow the coordinates.
Sites, in units of the cell vectors:
Pd 0.750 0.879 0.242  0.16
Pd 0.250 0.121 0.758  0.16
Cu 0.250 0.455 0.090  0.01
Cu 0.750 0.545 0.910  0.01
Co 0.750 0.715 0.570  1.83
Co 0.250 0.285 0.430  1.83


Record 3
Density functional theory data (GGA-PBE) for an optimized crystal structure of CoCu2Pd.

Output
E_form   134 meV per atom
Polymorph energy (0 for the lowest one)   0.171 eV/f.u.

a b c (Å): 4.163 4.163 4.163
angles (deg): 60.00 60.00 60.00
Site moments in Bohr magnetons follow the coordinates.
Sites, in units of the cell vectors:
Cu 0.750 0.750 0.750  0.08
Cu 0.250 0.250 0.250  0.08
Co 0.000 0.000 0.000  1.68
Pd 0.500 0.500 0.500  0.05


Record 4
Density functional theory data (GGA-PBE) for an optimized crystal structure of CoCu3Pd6.

Output
E_form   68 meV per atom
Polymorph energy (0 for the lowest one)   1.027 eV/f.u.

a b c (Å): 6.645 6.645 6.645
angles (deg): 90.96 90.96 90.96
Site moments in Bohr magnetons follow the coordinates.
Sites, in units of the cell vectors:
Cu 0.244 0.118 0.744  0.05
Cu 0.882 0.256 0.756  0.05
Cu 0.256 0.756 0.882  0.05
Cu 0.744 0.244 0.118  0.05
Cu 0.118 0.744 0.244  0.05
Cu 0.756 0.882 0.256  0.05
Pd 0.157 0.489 0.623  0.21
Pd 0.377 0.843 0.511  0.21
Pd 0.051 0.146 0.376  0.14
Pd 0.854 0.624 0.949  0.14
Pd 0.376 0.051 0.146  0.14
Pd 0.949 0.854 0.624  0.14
Pd 0.843 0.511 0.377  0.21
Pd 0.511 0.377 0.843  0.21
Pd 0.624 0.949 0.854  0.14
Pd 0.489 0.623 0.157  0.21
Pd 0.623 0.157 0.489  0.21
Pd 0.146 0.376 0.051  0.14
Co 0.000 0.000 0.000  1.94
Co 0.500 0.500 0.500  2.24


Record 5
Density functional theory data (GGA-PBE) for an optimized crystal structure of CoCuPd.

Output
E_form   80 meV per atom
Polymorph energy (0 for the lowest one)   0.195 eV/f.u.

a b c (Å): 2.687 2.687 5.707
angles (deg): 103.61 103.61 90.00
Site moments in Bohr magnetons follow the coordinates.
Sites, in units of the cell vectors:
Pd 0.670 0.670 0.339  0.26
Co 0.337 0.337 0.674  1.85
Cu 0.993 0.993 0.987  0.07


Record 6
Density functional theory data (GGA-PBE) for an optimized crystal structure of CoCu6Pd5.

Output
E_form   -31 meV per atom

a b c (Å): 3.880 7.165 7.103
angles (deg): 120.29 105.85 90.00
Site moments in Bohr magnetons follow the coordinates.
Sites, in units of the cell vectors:
Pd 0.341 0.841 0.683  0.11
Pd 0.000 0.500 0.000  -0.01
Pd 0.669 0.669 0.338  0.01
Pd 0.659 0.159 0.317  0.11
Pd 0.331 0.331 0.662  0.01
Cu 0.165 0.916 0.330  0.03
Cu 0.500 0.251 0.000  0.05
Cu 0.165 0.414 0.330  0.03
Cu 0.835 0.586 0.670  0.03
Cu 0.835 0.084 0.670  0.03
Cu 0.500 0.749 0.000  0.05
Co 0.000 0.000 0.000  1.92


Record 7
Density functional theory data (GGA-PBE) for an optimized crystal structure of Co2CuPd6.

Output
E_form   -12 meV per atom
Polymorph energy (0 for the lowest one)   0.000 eV/f.u.

a b c (Å): 3.879 5.945 6.182
angles (deg): 84.10 71.71 70.96
Site moments in Bohr magnetons follow the coordinates.
Sites, in units of the cell vectors:
Co 0.675 0.500 0.151  2.08
Co 0.325 0.500 0.849  2.08
Pd 0.325 0.183 0.168  0.28
Pd 0.656 0.188 0.500  0.26
Pd 0.992 0.183 0.832  0.28
Pd 0.675 0.817 0.832  0.28
Pd 0.344 0.812 0.500  0.26
Pd 0.008 0.817 0.168  0.28
Cu 0.000 0.500 0.500  0.07


Record 8
Density functional theory data (GGA-PBE) for an optimized crystal structure of CoCu2Pd5.

Output
E_form   10 meV per atom
Polymorph energy (0 for the lowest one)   0.000 eV/f.u.

a b c (Å): 5.394 5.394 5.393
angles (deg): 118.14 118.14 93.25
Site moments in Bohr magnetons follow the coordinates.
Sites, in units of the cell vectors:
Pd 0.778 0.278 0.000  0.23
Pd 0.278 0.278 0.000  0.10
Pd 0.778 0.778 0.500  0.23
Pd 0.278 0.278 0.500  0.23
Pd 0.278 0.778 0.000  0.23
Cu 0.278 0.778 0.500  0.05
Cu 0.778 0.278 0.500  0.05
Co 0.778 0.778 0.000  2.11


no.,total DFT energy (no corrections) (eV per atom)
1,-4.88
2,-5.39
3,-4.99
4,-4.99
5,-5.38
6,-4.83
7,-5.51
8,-5.15